(1)
A relaxed RbAlTe2I crystal, computed with PBE.

a = 5.416 Å, b = 5.416 Å, c = 6.210 Å
α = 90.00°, β = 90.00°, γ = 90.00°
Space group P4/mmm (No. 123)
One atom of each set of equivalent atoms:
1 Rb 0.000 0.000 0.000
2 Al 0.500 0.500 0.500
3 Te 0.000 0.500 0.500
4 I 0.500 0.500 0.000

Computed properties:
The crystal system is tetragonal. As for the raw formation energy: -0.465 eV/atom. The raw total energy comes out at -14.870 eV per cell.

=====

(2)
A relaxed LiZr4As5 crystal, computed with PBE.

a = 3.851 Å, b = 5.471 Å, c = 19.428 Å
α = 90.00°, β = 90.00°, γ = 90.00°
Space group Immm (No. 71)
One atom of each set of equivalent atoms:
1 Li 0.000 0.000 0.000
2 Zr 0.000 0.000 0.200
3 Zr 0.000 0.000 0.401
4 As 0.000 0.500 0.000
5 As 0.000 0.500 0.199
6 As 0.000 0.500 0.401

Computed properties:
The energy of formation comes out at -0.99 eV per atom. The crystal system is orthorhombic. The raw total energy comes out at -138.579 eV per cell.

=====

(3)
A relaxed ThPPt crystal, computed with PBE.

a = 10.932 Å, b = 4.194 Å, c = 7.203 Å
α = 90.00°, β = 131.19°, γ = 90.00°
Space group C2/m (No. 12)
One atom of each set of equivalent atoms:
1 Th 0.240 0.000 0.240
2 P 0.001 0.000 0.660
3 Pt 0.001 0.500 0.190

Computed properties:
The energy of formation comes out at -1.25 eV per atom. The crystal system is monoclinic. The raw total energy comes out at -90.505 eV per cell.

=====

(4)
A relaxed NiH4N2 crystal, computed with PBE.

a = 10.782 Å, b = 10.782 Å, c = 10.782 Å
α = 90.00°, β = 90.00°, γ = 90.00°
Space group Pm-3 (No. 200)
One atom of each set of equivalent atoms:
1 Ni 0.000 0.184 0.500
2 Ni 0.000 0.367 0.132
3 H 0.000 0.076 0.191
4 H 0.075 0.500 0.309
5 H 0.098 0.222 0.294
6 H 0.207 0.218 0.400
7 N 0.000 0.000 0.247
8 N 0.000 0.500 0.250
9 N 0.125 0.177 0.374

Computed properties:
The crystal system is cubic. The raw total energy comes out at -673.303 eV per cell.

=====

(5)
A relaxed Nb3WSe6 crystal, computed with PBE.

a = 9.3869 Å, b = 9.3869 Å, c = 18.9864 Å
α = 90.00°, β = 90.00°, γ = 120.00°
Space group R-3 (No. 148, hexagonal axes)
One atom of each set of equivalent atoms:
1 Nb 0.0316 0.4517 0.3291
2 W 0.0000 0.0000 0.0000
3 W 0.0000 0.0000 0.5000
4 Se 0.0517 0.2210 0.9017
5 Se 0.0629 0.2373 0.4102

Computed properties:
The crystal system is trigonal. As for the raw formation energy: -0.463 eV/atom. The raw total energy comes out at -412.199 eV per cell.

=====

(6)
A relaxed Na5B7C3 crystal, computed with PBE.

a = 14.532 Å, b = 5.022 Å, c = 10.349 Å
α = 90.00°, β = 124.08°, γ = 90.00°
Space group C2 (No. 5)
One atom of each set of equivalent atoms:
1 Na 0.000 0.000 0.250
2 Na 0.099 0.499 0.247
3 Na 0.101 0.499 0.751
4 Na 0.199 0.000 0.249
5 Na 0.200 0.999 0.750
6 B 0.000 0.163 0.500
7 B 0.000 0.853 0.000
8 B 0.095 0.664 0.500
9 B 0.100 0.321 0.999
10 B 0.101 0.663 0.999
11 B 0.192 0.195 0.499
12 B 0.201 0.818 0.501
13 B 0.205 0.843 0.000
14 C 0.000 0.163 0.000
15 C 0.000 0.827 0.500
16 C 0.095 0.327 0.500
17 C 0.200 0.165 0.999

Computed properties:
The energy of formation comes out at 0.15 eV per atom. The crystal system is monoclinic. The raw total energy comes out at -315.072 eV per cell.

=====

(7)
A relaxed NdMgZnAu2 crystal, computed with PBE.

a = 4.077 Å, b = 4.077 Å, c = 12.979 Å
α = 90.00°, β = 90.00°, γ = 90.00°
Space group I-4m2 (No. 119)
One atom of each set of equivalent atoms:
1 Nd 0.000 0.000 0.000
2 Mg 0.000 0.500 0.750
3 Zn 0.000 0.500 0.250
4 Au 0.000 0.000 0.391

Computed properties:
The energy of formation comes out at -0.60 eV per atom. The crystal system is tetragonal. The raw total energy comes out at -34.421 eV per cell.

=====

(8)
A relaxed AlCdNi crystal, computed with PBE.

a = 4.2671 Å, b = 4.2671 Å, c = 2.9795 Å
α = 90.00°, β = 90.00°, γ = 120.00°
Space group P-6m2 (No. 187)
One atom of each set of equivalent atoms:
1 Al 0.0000 0.0000 0.0000
2 Cd 0.6667 0.3333 0.5000
3 Ni 0.3333 0.6667 0.0000

Computed properties:
The energy of formation comes out at -0.06 eV per atom. The crystal system is hexagonal. The raw total energy comes out at -10.625 eV per cell.

=====

Question: Number 7 is which compound?
Answer: NdMgZnAu2